Entry 1:
Computed, not measured: a geometry-optimized NaCaPtPb2 structure at the PBE level of DFT.

Values from the calculation:
As for the energy of formation from the pure elements: 0.386 eV/atom. Its density of states at the Fermi level is 0.735 states/eV/atom.

Geometry as POSCAR:
```
NaCaPtPb2
1.0
5.704 0.000 0.000
0.000 5.704 0.000
0.000 0.000 5.384
Na Ca Pt Pb
1 1 1 2
direct
0.000 0.000 0.000
0.500 0.500 0.500
0.000 0.000 0.500
0.000 0.500 0.000
0.500 0.000 0.000
```



Entry 2:
Computed, not measured: a geometry-optimized RbNa2CaPb structure at the PBE level of DFT.

Values from the calculation:
As for the energy of formation from the pure elements: -0.053 eV/atom. Its density of states at the Fermi level is 0.659 states/eV/atom.

Geometry as POSCAR:
```
RbNa2CaPb
1.0
6.232 0.000 0.000
0.000 6.232 0.000
0.000 0.000 6.185
Rb Na Ca Pb
1 2 1 1
direct
0.000 0.000 0.000
0.000 0.500 0.500
0.500 0.000 0.500
0.500 0.500 0.000
0.500 0.500 0.500
```



Entry 3:
Computed, not measured: a geometry-optimized RbNaCaPb structure at the PBE level of DFT.

Values from the calculation:
As for the energy of formation from the pure elements: -0.157 eV/atom. Its density of states at the Fermi level is 0.156 states/eV/atom.

Geometry as POSCAR:
```
RbNaCaPb
1.0
0.000 4.091 4.091
4.091 0.000 4.091
4.091 4.091 0.000
Rb Na Ca Pb
1 1 1 1
direct
0.000 0.000 0.000
0.250 0.250 0.250
0.750 0.750 0.750
0.500 0.500 0.500
```



Entry 4:
Computed, not measured: a geometry-optimized NaCaRhPb2 structure at the PBE level of DFT.

Values from the calculation:
As for the energy of formation from the pure elements: -0.172 eV/atom. Its density of states at the Fermi level is 0.820 states/eV/atom.

Geometry as POSCAR:
```
NaCaRhPb2
1.0
5.366 0.000 0.000
0.000 5.366 0.000
0.000 0.000 5.317
Na Ca Rh Pb
1 1 1 2
direct
0.000 0.000 0.000
0.500 0.500 0.000
0.500 0.500 0.500
0.000 0.500 0.500
0.500 0.000 0.500
```



Entry 5:
Computed, not measured: a geometry-optimized NaCa2RhPb structure at the PBE level of DFT.

Values from the calculation:
As for the energy of formation from the pure elements: -0.275 eV/atom. Its density of states at the Fermi level is 0.587 states/eV/atom.

Geometry as POSCAR:
```
NaCa2RhPb
1.0
5.525 0.000 0.000
0.000 5.525 0.000
0.000 0.000 5.268
Na Ca Rh Pb
1 2 1 1
direct
0.000 0.000 0.000
0.000 0.500 0.500
0.500 0.000 0.500
0.500 0.500 0.500
0.500 0.500 0.000
```



Entry 6:
Computed, not measured: a geometry-optimized NaCaPbS2 structure at the PBE level of DFT.

Values from the calculation:
For the formation energy from raw total energies, the calculation gives -123 meV/atom. Its density of states at the Fermi level is 0.829 states/eV/atom.

Geometry as POSCAR:
```
NaCaPbS2
1.0
5.157 0.000 0.000
0.000 5.157 0.000
0.000 0.000 5.005
Na Ca Pb S
1 1 1 2
direct
0.000 0.000 0.000
0.500 0.500 0.500
0.000 0.000 0.500
0.000 0.500 0.000
0.500 0.000 0.000
```



Entry 7:
Computed, not measured: a geometry-optimized NaCa2SbPb structure at the PBE level of DFT.

Values from the calculation:
For the formation energy from raw total energies, the calculation gives 57 meV/atom. Its density of states at the Fermi level is 0.931 states/eV/atom.

Geometry as POSCAR:
```
NaCa2SbPb
1.0
6.011 0.000 0.000
0.000 6.011 0.000
0.000 0.000 5.958
Na Ca Sb Pb
1 2 1 1
direct
0.000 0.000 0.000
0.000 0.500 0.500
0.500 0.000 0.500
0.500 0.500 0.000
0.500 0.500 0.500
```



Entry 8:
Computed, not measured: a geometry-optimized Na2CaSb2Pb structure at the PBE level of DFT.

Values from the calculation:
For the formation energy from raw total energies, the calculation gives -486 meV/atom. Its density of states at the Fermi level is 0.066 states/eV/atom.

Geometry as POSCAR:
```
Na2CaSb2Pb
1.0
4.574 0.000 0.000
0.000 9.427 0.000
0.000 0.000 8.674
Na Ca Sb Pb
4 2 4 2
direct
0.000 0.089 0.000
0.000 0.911 0.500
0.500 0.201 0.286
0.500 0.799 0.786
0.500 0.425 0.895
0.500 0.575 0.395
0.000 0.419 0.176
0.000 0.581 0.676
0.500 0.122 0.737
0.500 0.878 0.237
0.000 0.275 0.561
0.000 0.725 0.061
```



Entry 9:
Computed, not measured: a geometry-optimized NaCaSbPb structure at the PBE level of DFT.

Values from the calculation:
For the formation energy from raw total energies, the calculation gives -406 meV/atom. Its density of states at the Fermi level is 0.708 states/eV/atom.

Geometry as POSCAR:
```
NaCaSbPb
1.0
0.000 3.862 3.862
3.862 0.000 3.862
3.862 3.862 0.000
Na Ca Sb Pb
1 1 1 1
direct
0.000 0.000 0.000
0.500 0.500 0.500
0.750 0.750 0.750
0.250 0.250 0.250
```



Entry 10:
Computed, not measured: a geometry-optimized NaSrCaPb structure at the PBE level of DFT.

Values from the calculation:
As for the energy of formation from the pure elements: -0.347 eV/atom. Its density of states at the Fermi level is 0.593 states/eV/atom.

Geometry as POSCAR:
```
NaSrCaPb
1.0
0.000 4.063 4.063
4.063 0.000 4.063
4.063 4.063 0.000
Na Sr Ca Pb
1 1 1 1
direct
0.000 0.000 0.000
0.250 0.250 0.250
0.750 0.750 0.750
0.500 0.500 0.500
```



Entry 11:
Computed, not measured: a geometry-optimized NaCaTbPb structure at the PBE level of DFT.

Values from the calculation:
As for the energy of formation from the pure elements: -0.207 eV/atom. Its density of states at the Fermi level is 0.595 states/eV/atom.

Geometry as POSCAR:
```
NaCaTbPb
1.0
0.000 3.894 3.894
3.894 0.000 3.894
3.894 3.894 0.000
Na Ca Tb Pb
1 1 1 1
direct
0.000 0.000 0.000
0.250 0.250 0.250
0.750 0.750 0.750
0.500 0.500 0.500
```



Entry 12:
Computed, not measured: a geometry-optimized Na2CaTl2Pb structure at the PBE level of DFT.

Values from the calculation:
As for the energy of formation from the pure elements: -0.190 eV/atom. Its density of states at the Fermi level is 0.632 states/eV/atom.

Geometry as POSCAR:
```
Na2CaTl2Pb
1.0
4.899 0.000 0.000
0.000 9.797 0.000
0.000 0.000 7.635
Na Ca Tl Pb
4 2 4 2
direct
0.000 0.060 0.000
0.000 0.940 0.500
0.500 0.190 0.308
0.500 0.810 0.808
0.500 0.448 0.908
0.500 0.552 0.408
0.000 0.368 0.187
0.000 0.632 0.687
0.500 0.125 0.727
0.500 0.875 0.227
0.000 0.314 0.607
0.000 0.686 0.107
```